Entry 1:
NdHo5In6: relaxed, GGA-PBE.

Properties
Total magnetization (μB per cell): 0.00
E (eV/atom): -4.1342

Cell: 5.331 16.006 7.513 Å, 90.00 90.00 90.00°
Space group Cmmm (No. 65)
Inequivalent atoms, fractional coordinates:
Nd1 0.000 0.000 0.000 [2 per cell]
Ho1 0.000 0.000 0.500 [2 per cell]
Ho2 0.000 0.333 0.000 [4 per cell]
Ho3 0.000 0.336 0.500 [4 per cell]
In1 0.000 0.170 0.255 [8 per cell]
In2 0.000 0.500 0.254 [4 per cell]

=====

Entry 2:
Dy3Al4Ga2: relaxed, GGA-PBE.

Properties
Total magnetization (μB per cell): 0.00
E (eV/atom): -4.4145

Cell: 10.549 4.480 8.549 Å, 90.00 112.84 90.00°
Space group C2/m (No. 12)
Inequivalent atoms, fractional coordinates:
Dy1 0.000 0.000 0.000 [2 per cell]
Dy2 0.170 0.500 0.662 [4 per cell]
Al1 0.043 0.000 0.377 [4 per cell]
Al2 0.231 0.500 0.065 [4 per cell]
Ga1 0.110 0.500 0.278 [4 per cell]

=====

Entry 3:
KGe2RhI: relaxed, GGA-PBE.

Properties
Total magnetization (μB per cell): 0.00
ΔE_f (raw) (eV/atom): 1.57

Cell: 5.718 5.718 4.765 Å, 90.00 90.00 90.00°
Space group P4/mmm (No. 123)
Inequivalent atoms, fractional coordinates:
K1 0.000 0.000 0.000 [1 per cell]
Ge1 0.000 0.500 0.000 [2 per cell]
Rh1 0.000 0.000 0.500 [1 per cell]
I1 0.500 0.500 0.500 [1 per cell]

=====

Entry 4:
PaReBC: relaxed, GGA-PBE.

Properties
Total magnetization (μB per cell): 0.00
E (eV/atom): -9.8756

Cell: 3.665 3.665 8.096 Å, 90.00 90.00 90.00°
Space group P4/nmm (No. 129, origin choice 2)
Inequivalent atoms, fractional coordinates:
Pa1 0.250 0.250 0.164 [2 per cell]
Re1 0.250 0.750 0.500 [2 per cell]
B1 0.250 0.250 0.677 [2 per cell]
C1 0.250 0.250 0.873 [2 per cell]

=====

Entry 5:
Sm2Zn12Au5: relaxed, GGA-PBE.

Properties
Total magnetization (μB per cell): 0.00
E (eV/atom): -2.4561

Cell: 9.2757 9.2757 13.4794 Å, 90.00 90.00 120.00°
Space group R-3m (No. 166, hexagonal axes)
Inequivalent atoms, fractional coordinates:
Sm1 0.0000 0.0000 0.1637 [6 per cell]
Zn1 0.0000 0.2995 0.5000 [18 per cell]
Zn2 0.0147 0.5073 0.6538 [18 per cell]
Au1 0.0000 0.0000 0.3954 [6 per cell]
Au2 0.0000 0.5000 0.0000 [9 per cell]

=====

Entry 6:
Fe2CoAg: relaxed, GGA-PBE.

Properties
Total magnetization (μB per cell): 13.99
Energy above the most stable polymorph in this dataset (meV per atom): 92

Cell: 3.762 3.762 7.403 Å, 90.00 90.00 90.00°
Space group I4/mmm (No. 139)
Inequivalent atoms, fractional coordinates:
Fe1 0.000 0.500 0.250 [4 per cell]
Co1 0.000 0.000 0.000 [2 per cell]
Ag1 0.000 0.000 0.500 [2 per cell]

=====

Entry 7:
Tb5AlPd4: relaxed, GGA-PBE.

Properties
Total magnetization (μB per cell): 0.00
E (eV/atom): -5.5353

Cell: 3.535 3.535 17.821 Å, 90.00 90.00 90.00°
Space group P4/mmm (No. 123)
Inequivalent atoms, fractional coordinates:
Tb1 0.000 0.000 0.000 [1 per cell]
Tb2 0.000 0.000 0.198 [2 per cell]
Tb3 0.000 0.000 0.394 [2 per cell]
Al1 0.500 0.500 0.500 [1 per cell]
Pd1 0.500 0.500 0.099 [2 per cell]
Pd2 0.500 0.500 0.297 [2 per cell]

=====

Copy entry 3 word for word.
KGe2RhI: relaxed, GGA-PBE.

Properties
Total magnetization (μB per cell): 0.00
ΔE_f (raw) (eV/atom): 1.57

Cell: 5.718 5.718 4.765 Å, 90.00 90.00 90.00°
Space group P4/mmm (No. 123)
Inequivalent atoms, fractional coordinates:
K1 0.000 0.000 0.000 [1 per cell]
Ge1 0.000 0.500 0.000 [2 per cell]
Rh1 0.000 0.000 0.500 [1 per cell]
I1 0.500 0.500 0.500 [1 per cell]

=====

> total magnetization of number 6 (Fe2CoAg)?

13.99 μB per cell